Entry 1:
{"formula": "Ac3MgIn", "functional": "PBE", "state": "optimized geometry", "lattice_angstrom": [[5.671, 0.000, 1.296], [0.000, 5.812, 0.000], [0.409, 0.000, 11.264]], "species": ["Ac", "Ac", "Ac", "Ac", "Ac", "Ac", "In", "In", "Mg", "Mg"], "fractional_positions": [[0.073, 0.750, 0.502], [0.575, 0.250, 0.498], [0.260, 0.750, 0.128], [0.761, 0.250, 0.125], [0.887, 0.750, 0.875], [0.388, 0.250, 0.872], [0.981, 0.250, 0.687], [0.668, 0.750, 0.313], [0.479, 0.750, 0.690], [0.169, 0.250, 0.310]], "spacegroup": "No. 63", "final_energy_ev_per_atom": -3.527, "dos_ef_per_ev_cell": 12.89, "e_above_lowest_polymorph_ev_per_fu": 0.00}



Entry 2:
{"formula": "LiHfB2", "functional": "PBE", "state": "optimized geometry", "lattice_angstrom": [[3.596, 0.000, 0.000], [0.000, 3.596, 0.000], [1.798, 1.798, 6.780]], "species": ["Hf", "Hf", "B", "B", "B", "B", "Li", "Li"], "fractional_positions": [[0.000, 0.000, 0.000], [0.750, 0.250, 0.500], [0.375, 0.125, 0.250], [0.375, 0.625, 0.250], [0.375, 0.625, 0.750], [0.875, 0.625, 0.750], [0.250, 0.750, 0.500], [0.500, 0.500, 0.000]], "spacegroup": "No. 141", "final_energy_ev_per_atom": -6.005, "dos_ef_per_ev_cell": 3.25, "e_above_lowest_polymorph_ev_per_fu": 0.19}



Entry 3:
{"formula": "Nd6SbP5", "functional": "PBE", "state": "optimized geometry", "lattice_angstrom": [[-1.859, 5.685, -4.231], [-1.337, -6.837, -2.266], [-5.136, 0.598, 5.178]], "species": ["Nd", "Nd", "Nd", "Nd", "Nd", "Nd", "Sb", "P", "P", "P", "P", "P"], "fractional_positions": [[0.261, 0.261, 0.743], [0.086, 0.433, 0.257], [0.433, 0.086, 0.257], [0.914, 0.567, 0.743], [0.739, 0.739, 0.257], [0.567, 0.914, 0.743], [0.000, 0.000, 0.000], [0.667, 0.333, 0.000], [0.333, 0.667, 0.000], [0.164, 0.836, 0.500], [0.836, 0.164, 0.500], [0.500, 0.500, 0.500]], "spacegroup": "No. 12", "final_energy_ev_per_atom": -6.433, "dos_ef_per_ev_cell": 1.78}



Entry 4:
{"formula": "AlZnTe2", "functional": "PBE", "state": "optimized geometry", "lattice_angstrom": [[-5.532, -2.665, -0.813], [1.132, -1.244, 5.961], [-1.636, 4.524, -3.902]], "species": ["Te", "Te", "Zn", "Al"], "fractional_positions": [[0.004, 0.004, 0.000], [0.496, 0.496, 0.000], [0.750, 0.250, 0.500], [0.250, 0.750, 0.500]], "spacegroup": "No. 71", "final_energy_ev_per_atom": -2.833, "dos_ef_per_ev_cell": 0.47, "e_above_lowest_polymorph_ev_per_fu": 0.99}



Entry 5:
{"formula": "NaTl2Fe", "functional": "PBE", "state": "optimized geometry", "lattice_angstrom": [[-3.171, 0.276, 3.515], [-3.523, -0.457, -3.142], [-3.034, -9.537, 1.211]], "species": ["Fe", "Fe", "Tl", "Tl", "Tl", "Tl", "Na", "Na"], "fractional_positions": [[0.000, 0.000, 0.000], [0.750, 0.250, 0.500], [0.875, 0.917, 0.750], [0.375, 0.333, 0.750], [0.083, 0.625, 0.250], [0.667, 0.125, 0.250], [0.250, 0.750, 0.500], [0.500, 0.500, 0.000]], "spacegroup": "No. 122", "final_energy_ev_per_atom": -3.037, "dos_ef_per_ev_cell": 9.63}



Entry 6:
{"formula": "Cs2GePt", "functional": "PBE", "state": "optimized geometry", "lattice_angstrom": [[13.166, 0.000, 0.000], [0.000, 13.166, 0.000], [6.583, 6.583, 2.369]], "species": ["Pt", "Pt", "Ge", "Ge", "Cs", "Cs", "Cs", "Cs"], "fractional_positions": [[0.000, 0.000, 0.000], [0.750, 0.250, 0.500], [0.250, 0.750, 0.500], [0.500, 0.500, 0.000], [0.375, 0.199, 0.750], [0.875, 0.051, 0.750], [0.801, 0.125, 0.250], [0.949, 0.625, 0.250]], "spacegroup": "No. 122", "final_energy_ev_per_atom": -3.284, "dos_ef_per_ev_cell": 6.62}



Entry 7:
{"formula": "CsH2I", "functional": "PBE", "state": "optimized geometry", "lattice_angstrom": [[-0.222, 3.495, -4.237], [-3.954, -3.173, -2.411], [-5.818, 4.314, 3.863]], "species": ["H", "H", "H", "H", "Cs", "Cs", "I", "I"], "fractional_positions": [[0.250, 0.683, 0.462], [0.750, 0.317, 0.538], [0.750, 0.183, 0.538], [0.250, 0.817, 0.462], [0.250, 0.250, 0.760], [0.750, 0.750, 0.240], [0.250, 0.250, 0.227], [0.750, 0.750, 0.773]], "spacegroup": "No. 59", "final_energy_ev_per_atom": -3.044, "dos_ef_per_ev_cell": 0.00, "e_above_lowest_polymorph_ev_per_fu": 0.00}



Entry 8:
{"formula": "CaTa3O", "functional": "PBE", "state": "optimized geometry", "lattice_angstrom": [[-4.059, -0.620, 2.384], [2.191, -3.007, 2.949], [1.124, 3.622, 2.857]], "species": ["Ca", "O", "Ta", "Ta", "Ta"], "fractional_positions": [[0.000, 0.000, 0.000], [0.500, 0.500, 0.500], [0.500, 0.000, 0.000], [0.000, 0.000, 0.500], [0.000, 0.500, 0.000]], "spacegroup": "No. 221", "final_energy_ev_per_atom": -5.411, "dos_ef_per_ev_cell": 6.25, "e_above_lowest_polymorph_ev_per_fu": 16.24}